The following is a DFT calculation (PBE-GGA) of a geometry-optimized KAlCd2Ag structure.

Cell: 5.3893 5.3893 5.1520 Å, 90.00 90.00 90.00°
Positions (direct):
K 0.0000 0.0000 0.0000
Al 0.5000 0.5000 0.5000
Cd 0.0000 0.5000 0.5000
Cd 0.5000 0.0000 0.5000
Ag 0.5000 0.5000 0.0000

Values from the calculation:
The value obtained for the energy relative to the elements is 0.105 eV/atom. Its density of states at the Fermi level is 2.8 states/eV/cell.

The following is a DFT calculation (PBE-GGA) of a geometry-optimized K2AlCd12Ag3 structure.

Cell: 11.0010 11.0010 11.0010 Å, 39.92 39.92 39.92°
Positions (direct):
K 0.1530 0.1530 0.1530
K 0.8470 0.8470 0.8470
Al 0.5000 0.5000 0.5000
Cd 0.0834 0.0834 0.6884
Cd 0.0834 0.6884 0.0834
Cd 0.1459 0.5713 0.5713
Cd 0.3116 0.9166 0.9166
Cd 0.4287 0.4287 0.8541
Cd 0.4287 0.8541 0.4287
Cd 0.5713 0.1459 0.5713
Cd 0.5713 0.5713 0.1459
Cd 0.6884 0.0834 0.0834
Cd 0.8541 0.4287 0.4287
Cd 0.9166 0.3116 0.9166
Cd 0.9166 0.9166 0.3116
Ag 0.0000 0.5000 0.5000
Ag 0.5000 0.0000 0.5000
Ag 0.5000 0.5000 0.0000

Values from the calculation:
The value obtained for the energy relative to the elements is 0.073 eV/atom. Its density of states at the Fermi level is 6.5 states/eV/cell.

The following is a DFT calculation (PBE-GGA) of a geometry-optimized KAlCdAg2 structure.

Cell: 5.1523 5.1523 5.1953 Å, 90.00 90.00 90.00°
Positions (direct):
K 0.0000 0.0000 0.0000
Al 0.5000 0.5000 0.5000
Cd 0.5000 0.5000 0.0000
Ag 0.0000 0.5000 0.5000
Ag 0.5000 0.0000 0.5000

Values from the calculation:
The value obtained for the energy relative to the elements is 0.109 eV/atom. Its density of states at the Fermi level is 1.9 states/eV/cell.

The following is a DFT calculation (PBE-GGA) of a geometry-optimized LaAlCdAg structure.

Cell: 7.1795 7.1795 7.1795 Å, 90.00 90.00 90.00°
Positions (direct):
La 0.0000 0.0000 0.0000
La 0.0000 0.5000 0.5000
La 0.5000 0.0000 0.5000
La 0.5000 0.5000 0.0000
Al 0.2500 0.2500 0.2500
Al 0.2500 0.7500 0.7500
Al 0.7500 0.2500 0.7500
Al 0.7500 0.7500 0.2500
Cd 0.0000 0.0000 0.5000
Cd 0.0000 0.5000 0.0000
Cd 0.5000 0.0000 0.0000
Cd 0.5000 0.5000 0.5000
Ag 0.2500 0.2500 0.7500
Ag 0.2500 0.7500 0.2500
Ag 0.7500 0.2500 0.2500
Ag 0.7500 0.7500 0.7500

Values from the calculation:
The value obtained for the energy relative to the elements is -0.266 eV/atom. Its density of states at the Fermi level is 7.0 states/eV/cell.

The following is a DFT calculation (PBE-GGA) of a geometry-optimized La4AlCdAg2 structure.

Cell: 9.4689 9.4689 9.4689 Å, 33.45 33.45 33.45°
Positions (direct):
La 0.1216 0.1216 0.1216
La 0.3719 0.3719 0.3719
La 0.6281 0.6281 0.6281
La 0.8784 0.8784 0.8784
Al 0.0000 0.0000 0.0000
Cd 0.5000 0.5000 0.5000
Ag 0.2464 0.2464 0.2464
Ag 0.7536 0.7536 0.7536

Values from the calculation:
The value obtained for the energy relative to the elements is -0.286 eV/atom. Its density of states at the Fermi level is 9.5 states/eV/cell.

The following is a DFT calculation (PBE-GGA) of a geometry-optimized LaAl2CdAg structure.

Cell: 4.4880 4.4880 11.1655 Å, 90.00 90.00 90.00°
Positions (direct):
La 0.0000 0.0000 0.0000
La 0.5000 0.5000 0.5000
Al 0.0000 0.0000 0.3865
Al 0.0000 0.0000 0.6135
Al 0.5000 0.5000 0.1135
Al 0.5000 0.5000 0.8865
Cd 0.0000 0.5000 0.7500
Cd 0.5000 0.0000 0.2500
Ag 0.0000 0.5000 0.2500
Ag 0.5000 0.0000 0.7500

Values from the calculation:
The value obtained for the energy relative to the elements is -0.348 eV/atom. Its density of states at the Fermi level is 5.3 states/eV/cell.

The following is a DFT calculation (PBE-GGA) of a geometry-optimized LaAlCd2Ag4 structure.

Cell: 9.3069 9.3069 9.3069 Å, 29.46 29.46 29.46°
Positions (direct):
La 0.0000 0.0000 0.0000
Al 0.5000 0.5000 0.5000
Cd 0.2473 0.2473 0.2473
Cd 0.7527 0.7527 0.7527
Ag 0.1351 0.1351 0.1351
Ag 0.3996 0.3996 0.3996
Ag 0.6004 0.6004 0.6004
Ag 0.8649 0.8649 0.8649

Values from the calculation:
The value obtained for the energy relative to the elements is -0.126 eV/atom. Its density of states at the Fermi level is 5.3 states/eV/cell.

The following is a DFT calculation (PBE-GGA) of a geometry-optimized La2Al4CdAg3 structure.

Cell: 4.4830 4.4830 10.9358 Å, 90.00 90.00 90.00°
Positions (direct):
La 0.0000 0.5000 0.2465
La 0.5000 0.0000 0.7535
Al 0.0000 0.0000 0.0000
Al 0.0000 0.5000 0.6418
Al 0.5000 0.0000 0.3582
Al 0.5000 0.5000 0.0000
Cd 0.0000 0.0000 0.5000
Ag 0.0000 0.5000 0.8745
Ag 0.5000 0.0000 0.1255
Ag 0.5000 0.5000 0.5000

Values from the calculation:
The value obtained for the energy relative to the elements is -0.357 eV/atom. Its density of states at the Fermi level is 6.0 states/eV/cell.

The following is a DFT calculation (PBE-GGA) of a geometry-optimized Li2AlCd2Ag5 structure.

Cell: 9.7090 9.7090 3.7700 Å, 90.00 90.00 90.00°
Positions (direct):
Li 0.1258 0.3742 0.0000
Li 0.3742 0.8742 0.0000
Li 0.6258 0.1258 0.0000
Li 0.8742 0.6258 0.0000
Al 0.0000 0.0000 0.0000
Al 0.5000 0.5000 0.0000
Cd 0.1663 0.6663 0.0000
Cd 0.3337 0.1663 0.0000
Cd 0.6663 0.8337 0.0000
Cd 0.8337 0.3337 0.0000
Ag 0.0000 0.5000 0.5000
Ag 0.0921 0.1890 0.5000
Ag 0.1890 0.9079 0.5000
Ag 0.3110 0.4079 0.5000
Ag 0.4079 0.6890 0.5000
Ag 0.5000 0.0000 0.5000
Ag 0.5921 0.3110 0.5000
Ag 0.6890 0.5921 0.5000
Ag 0.8110 0.0921 0.5000
Ag 0.9079 0.8110 0.5000

Values from the calculation:
The value obtained for the energy relative to the elements is -0.057 eV/atom. Its density of states at the Fermi level is 5.4 states/eV/cell.

The following is a DFT calculation (PBE-GGA) of a geometry-optimized Mg2AlCdAg structure.

Cell: 7.0276 3.9668 7.1081 Å, 90.00 92.91 90.00°
Positions (direct):
Mg 0.1559 0.2500 0.4566
Mg 0.3420 0.2500 0.0417
Mg 0.6580 0.7500 0.9583
Mg 0.8441 0.7500 0.5434
Al 0.0458 0.7500 0.1429
Al 0.9542 0.2500 0.8571
Cd 0.4562 0.7500 0.3369
Cd 0.5438 0.2500 0.6631
Ag 0.2178 0.7500 0.7618
Ag 0.7822 0.2500 0.2382

Values from the calculation:
The value obtained for the energy relative to the elements is -0.054 eV/atom. Its density of states at the Fermi level is 3.0 states/eV/cell.

The following is a DFT calculation (PBE-GGA) of a geometry-optimized Mg2AlCdAg5 structure.

Cell: 8.0103 8.0103 8.0103 Å, 121.06 121.06 88.18°
Positions (direct):
Mg 0.1189 0.6189 0.7377
Mg 0.3811 0.1189 0.5000
Mg 0.6189 0.8811 0.5000
Mg 0.8811 0.3811 0.2623
Al 0.2500 0.7500 0.5000
Al 0.7500 0.2500 0.5000
Cd 0.2500 0.2500 0.0000
Cd 0.7500 0.7500 0.0000
Ag 0.0000 0.0000 0.0000
Ag 0.0590 0.1729 0.5000
Ag 0.1729 0.6729 0.1139
Ag 0.3271 0.4410 0.5000
Ag 0.4410 0.9410 0.1139
Ag 0.5000 0.5000 0.0000
Ag 0.5590 0.0590 0.8861
Ag 0.6729 0.5590 0.5000
Ag 0.8271 0.3271 0.8861
Ag 0.9410 0.8271 0.5000

Values from the calculation:
The value obtained for the energy relative to the elements is 0.079 eV/atom. Its density of states at the Fermi level is 5.2 states/eV/cell.

The following is a DFT calculation (PBE-GGA) of a geometry-optimized MgAlCdAg structure.

Cell: 6.7189 6.7189 6.7189 Å, 90.00 90.00 90.00°
Positions (direct):
Mg 0.0000 0.0000 0.0000
Mg 0.0000 0.5000 0.5000
Mg 0.5000 0.0000 0.5000
Mg 0.5000 0.5000 0.0000
Al 0.0000 0.0000 0.5000
Al 0.0000 0.5000 0.0000
Al 0.5000 0.0000 0.0000
Al 0.5000 0.5000 0.5000
Cd 0.2500 0.2500 0.2500
Cd 0.2500 0.7500 0.7500
Cd 0.7500 0.2500 0.7500
Cd 0.7500 0.7500 0.2500
Ag 0.2500 0.2500 0.7500
Ag 0.2500 0.7500 0.2500
Ag 0.7500 0.2500 0.2500
Ag 0.7500 0.7500 0.7500

Values from the calculation:
The value obtained for the energy relative to the elements is -0.006 eV/atom. Its density of states at the Fermi level is 3.8 states/eV/cell.

The following is a DFT calculation (PBE-GGA) of a geometry-optimized MgAl2Cd2Ag5 structure.

Cell: 9.4268 9.4268 4.2565 Å, 90.00 90.00 90.00°
Positions (direct):
Mg 0.0000 0.0000 0.0000
Mg 0.5000 0.5000 0.0000
Al 0.1196 0.3804 0.0000
Al 0.3804 0.8804 0.0000
Al 0.6196 0.1196 0.0000
Al 0.8804 0.6196 0.0000
Cd 0.1766 0.6766 0.0000
Cd 0.3234 0.1766 0.0000
Cd 0.6766 0.8234 0.0000
Cd 0.8234 0.3234 0.0000
Ag 0.0000 0.5000 0.5000
Ag 0.0747 0.2013 0.5000
Ag 0.2013 0.9253 0.5000
Ag 0.2987 0.4253 0.5000
Ag 0.4253 0.7013 0.5000
Ag 0.5000 0.0000 0.5000
Ag 0.5747 0.2987 0.5000
Ag 0.7013 0.5747 0.5000
Ag 0.7987 0.0747 0.5000
Ag 0.9253 0.7987 0.5000

Values from the calculation:
The value obtained for the energy relative to the elements is -0.026 eV/atom. Its density of states at the Fermi level is 7.1 states/eV/cell.

The following is a DFT calculation (PBE-GGA) of a geometry-optimized NdAlCdAg structure.

Cell: 7.0830 7.0830 7.0830 Å, 90.00 90.00 90.00°
Positions (direct):
Nd 0.0000 0.0000 0.0000
Nd 0.0000 0.5000 0.5000
Nd 0.5000 0.0000 0.5000
Nd 0.5000 0.5000 0.0000
Al 0.2500 0.2500 0.7500
Al 0.2500 0.7500 0.2500
Al 0.7500 0.2500 0.2500
Al 0.7500 0.7500 0.7500
Cd 0.0000 0.0000 0.5000
Cd 0.0000 0.5000 0.0000
Cd 0.5000 0.0000 0.0000
Cd 0.5000 0.5000 0.5000
Ag 0.2500 0.2500 0.2500
Ag 0.2500 0.7500 0.7500
Ag 0.7500 0.2500 0.7500
Ag 0.7500 0.7500 0.2500

Values from the calculation:
The value obtained for the energy relative to the elements is -0.261 eV/atom. Its density of states at the Fermi level is 6.3 states/eV/cell.

The following is a DFT calculation (PBE-GGA) of a geometry-optimized Nd4AlCdAg2 structure.

Cell: 9.2899 9.2899 9.2899 Å, 33.43 33.43 33.43°
Positions (direct):
Nd 0.1225 0.1225 0.1225
Nd 0.3727 0.3727 0.3727
Nd 0.6273 0.6273 0.6273
Nd 0.8775 0.8775 0.8775
Al 0.0000 0.0000 0.0000
Cd 0.5000 0.5000 0.5000
Ag 0.2480 0.2480 0.2480
Ag 0.7520 0.7520 0.7520

Values from the calculation:
The value obtained for the energy relative to the elements is -0.279 eV/atom. Its density of states at the Fermi level is 9.0 states/eV/cell.

The following is a DFT calculation (PBE-GGA) of a geometry-optimized NdAlCd2Ag4 structure.

Cell: 9.1519 9.1519 9.1519 Å, 29.86 29.86 29.86°
Positions (direct):
Nd 0.0000 0.0000 0.0000
Al 0.5000 0.5000 0.5000
Cd 0.2495 0.2495 0.2495
Cd 0.7505 0.7505 0.7505
Ag 0.1342 0.1342 0.1342
Ag 0.3972 0.3972 0.3972
Ag 0.6028 0.6028 0.6028
Ag 0.8658 0.8658 0.8658

Values from the calculation:
The value obtained for the energy relative to the elements is -0.118 eV/atom. Its density of states at the Fermi level is 4.7 states/eV/cell.

The following is a DFT calculation (PBE-GGA) of a geometry-optimized AlCd2AgO4 structure.

Cell: 5.8036 5.8033 5.1508 Å, 63.66 63.65 52.69°
Positions (direct):
Al 0.0000 0.0000 0.0000
Cd 0.2499 0.2499 0.2501
Cd 0.7499 0.7499 0.7501
Ag 0.4992 0.4992 0.5008
O 0.0866 0.6854 0.9134
O 0.3145 0.9131 0.0869
O 0.6854 0.0866 0.3146
O 0.9131 0.3145 0.6855

Values from the calculation:
Its density of states at the Fermi level is 1.9 states/eV/cell. The value obtained for the raw formation energy is -1.4346 eV/atom.

The following is a DFT calculation (PBE-GGA) of a geometry-optimized AlCdAg2Os structure.

Cell: 4.6606 4.6606 4.8884 Å, 90.00 90.00 90.00°
Positions (direct):
Al 0.0000 0.0000 0.0000
Cd 0.0000 0.0000 0.5000
Ag 0.0000 0.5000 0.0000
Ag 0.5000 0.0000 0.0000
Os 0.5000 0.5000 0.5000

Values from the calculation:
The value obtained for the energy relative to the elements is 1.425 eV/atom. Its density of states at the Fermi level is 3.3 states/eV/cell.

The following is a DFT calculation (PBE-GGA) of a geometry-optimized PaAlCdAg structure.

Cell: 7.0161 7.0161 7.0161 Å, 90.00 90.00 90.00°
Positions (direct):
Pa 0.0000 0.0000 0.0000
Pa 0.0000 0.5000 0.5000
Pa 0.5000 0.0000 0.5000
Pa 0.5000 0.5000 0.0000
Al 0.2500 0.2500 0.7500
Al 0.2500 0.7500 0.2500
Al 0.7500 0.2500 0.2500
Al 0.7500 0.7500 0.7500
Cd 0.0000 0.0000 0.5000
Cd 0.0000 0.5000 0.0000
Cd 0.5000 0.0000 0.0000
Cd 0.5000 0.5000 0.5000
Ag 0.2500 0.2500 0.2500
Ag 0.2500 0.7500 0.7500
Ag 0.7500 0.2500 0.7500
Ag 0.7500 0.7500 0.2500

Values from the calculation:
The value obtained for the energy relative to the elements is 0.097 eV/atom. Its density of states at the Fermi level is 20.0 states/eV/cell.

The following is a DFT calculation (PBE-GGA) of a geometry-optimized Al2CdAgPd structure.

Cell: 4.8614 4.8614 5.1001 Å, 90.00 90.00 90.00°
Positions (direct):
Al 0.0000 0.5000 0.0000
Al 0.5000 0.0000 0.0000
Cd 0.0000 0.0000 0.0000
Ag 0.0000 0.0000 0.5000
Pd 0.5000 0.5000 0.5000

Values from the calculation:
The value obtained for the energy relative to the elements is 0.841 eV/atom. Its density of states at the Fermi level is 2.0 states/eV/cell.